DFT (GGA+U) results for AcCo2B2O7 after structural relaxation.

Results
The value obtained for the total magnetic moment is 7.00 μB/f.u. As for the total energy: -87.453 eV for the cell shown. Its crystal system is trigonal. Its theoretical density is 4.15 g cm⁻³. Its volume is 191.7 Å³/f.u. The density of states at the Fermi level is 6.689 states/eV/cell.

Unit cell a=5.0992 b=5.0992 c=9.0061 alpha=73.55 beta=73.55 gamma=60.00
Last column: nearest neighbours and their distance in Å.
Atoms (fractional coordinates):
Ac1 0.0000 0.0000 0.0000  6 O 2.55
Co1 0.5707 0.5707 0.2879  4 O 1.81-1.97
Co2 0.4293 0.4293 0.7121  4 O 1.81-1.97
B1 0.7305 0.7305 0.8084  3 O 1.39
B2 0.2695 0.2695 0.1916  3 O 1.39
O1 0.3081 0.9843 0.1840  1 B 1.39
O2 0.9843 0.5236 0.1840  1 B 1.39
O3 0.5236 0.3081 0.1840  1 B 1.39
O4 0.5000 0.5000 0.5000  2 Co 1.81
O5 0.6919 0.4764 0.8160  1 B 1.39
O6 0.4764 0.0157 0.8160  1 B 1.39
O7 0.0157 0.6919 0.8160  1 B 1.39